This record from Alexandria via LeMat-Bulk describes crystalline HoZrN at its relaxed geometry. The functional is PBE.

Properties
Energy relative to the lowest polymorph listed for this composition (eV/atom): 0.455
Raw formation energy (eV per formula unit): -1.9

Lattice parameters (Å, degrees): 3.328 3.323 6.104 82.15 74.18 59.94
Fractional coordinates of all 3 atoms:
1 Ho 0.699 0.000 0.602
2 Zr 0.961 0.000 0.077
3 N 0.340 0.000 0.321

This record from Alexandria via LeMat-Bulk describes crystalline HoZrN at its relaxed geometry. The functional is PBE.

Properties
Energy relative to the lowest polymorph listed for this composition (eV/atom): 0.010
Raw formation energy (eV per formula unit): -3.2

Lattice parameters (Å, degrees): 5.614 3.370 3.370 120.00 90.00 90.00
Each line ends with the local moment (μB).
Fractional coordinates of all 3 atoms:
1 Zr 0.775 0.667 0.333  0.00
2 Ho 0.236 0.333 0.667  0.10
3 N 0.990 0.000 0.000  0.00

This record from Alexandria via LeMat-Bulk describes crystalline Ho3ZrN4 at its relaxed geometry. The functional is PBE.

Properties
Energy relative to the lowest polymorph listed for this composition (eV/atom): 0.036
Raw formation energy (eV per formula unit): -13.8

Lattice parameters (Å, degrees): 4.800 4.800 4.800 90.00 90.00 90.00
Fractional coordinates of all 8 atoms:
1 N 0.000 0.000 0.500
2 N 0.000 0.500 0.000
3 N 0.500 0.500 0.500
4 N 0.500 0.000 0.000
5 Ho 0.500 0.000 0.500
6 Ho 0.000 0.500 0.500
7 Ho 0.500 0.500 0.000
8 Zr 0.000 0.000 0.000

This record from Alexandria via LeMat-Bulk describes crystalline NaHo4 at its relaxed geometry. The functional is PBE.

Properties
Calculated formation energy (meV per atom): 808

Lattice parameters (Å, degrees): 5.528 5.528 5.528 90.00 90.00 90.00
Fractional coordinates of all 5 atoms:
1 Ho 0.500 0.500 0.000
2 Ho 0.000 0.000 0.000
3 Ho 0.500 0.000 0.500
4 Ho 0.000 0.500 0.500
5 Na 0.500 0.500 0.500

This record from Alexandria via LeMat-Bulk describes crystalline NaHo5 at its relaxed geometry. The functional is PBE.

Properties
Calculated formation energy (meV per atom): 182

Lattice parameters (Å, degrees): 4.992 4.986 7.965 108.24 90.00 90.00
Fractional coordinates of all 6 atoms:
1 Ho 0.500 0.500 0.000
2 Ho 0.500 0.826 0.653
3 Ho 0.000 0.329 0.658
4 Ho 0.000 0.671 0.342
5 Ho 0.500 0.174 0.347
6 Na 0.000 0.000 0.000

This record from Alexandria via LeMat-Bulk describes crystalline Na2Ho at its relaxed geometry. The functional is PBE.

Properties
Calculated formation energy (meV per atom): 341

Lattice parameters (Å, degrees): 6.464 6.464 6.464 60.00 60.00 60.00
Fractional coordinates of all 6 atoms:
1 Na 0.625 0.125 0.625
2 Na 0.625 0.625 0.625
3 Na 0.625 0.625 0.125
4 Na 0.125 0.625 0.625
5 Ho 0.250 0.250 0.250
6 Ho 0.000 0.000 0.000

This record from Alexandria via LeMat-Bulk describes crystalline Na3Ho3NbO8 at its relaxed geometry. The functional is PBE.

Properties
Raw formation energy (eV per formula unit): -40.8

Lattice parameters (Å, degrees): 6.727 6.727 6.792 119.69 90.00 120.00
Each line ends with the local moment (μB).
Fractional coordinates of all 15 atoms:
1 Na 0.500 0.500 0.000  0.00
2 Na 0.000 0.500 0.000  0.00
3 Na 0.000 0.000 0.000  0.00
4 Nb 0.000 0.000 0.500  0.76
5 Ho 0.000 0.500 0.500  0.02
6 Ho 0.500 0.500 0.500  0.02
7 Ho 0.500 0.000 0.500  0.02
8 O 0.754 0.975 0.696  0.01
9 O 0.263 0.526 0.289  0.01
10 O 0.246 0.025 0.304  0.01
11 O 0.779 0.025 0.304  0.01
12 O 0.737 0.474 0.711  0.01
13 O 0.221 0.975 0.696  0.01
14 O 0.779 0.559 0.304  0.01
15 O 0.221 0.441 0.696  0.01

This record from Alexandria via LeMat-Bulk describes crystalline Na3Ho3NbS8 at its relaxed geometry. The functional is PBE.

Properties
Raw formation energy (eV per formula unit): -24.4

Lattice parameters (Å, degrees): 7.751 7.752 8.120 118.54 90.00 120.00
Each line ends with the local moment (μB).
Fractional coordinates of all 15 atoms:
1 Na 0.500 0.500 0.000  0.00
2 Na 0.000 0.500 0.000  0.00
3 Na 0.000 0.000 0.000  0.00
4 S 0.743 0.485 0.727  0.00
5 S 0.257 0.515 0.273  0.00
6 S 0.772 0.545 0.286  -0.01
7 S 0.228 0.455 0.714  -0.01
8 S 0.772 0.013 0.286  -0.01
9 S 0.759 0.987 0.714  -0.01
10 S 0.241 0.013 0.286  -0.01
11 S 0.228 0.987 0.714  -0.01
12 Ho 0.500 0.000 0.500  0.03
13 Ho 0.000 0.500 0.500  0.03
14 Ho 0.500 0.500 0.500  0.03
15 Nb 0.000 0.000 0.500  0.77

This record from Alexandria via LeMat-Bulk describes crystalline NaNdHo at its relaxed geometry. The functional is PBE.

Properties
Energy relative to the lowest polymorph listed for this composition (eV/atom): 0.287
Calculated formation energy (meV per atom): 414

Lattice parameters (Å, degrees): 6.536 6.740 6.402 75.67 59.31 61.00
Fractional coordinates of all 6 atoms:
1 Nd 0.672 0.000 0.656
2 Nd 0.328 0.000 0.344
3 Na 0.868 0.264 0.000
4 Na 0.132 0.736 0.000
5 Ho 0.750 0.500 0.500
6 Ho 0.250 0.500 0.500

This record from Alexandria via LeMat-Bulk describes crystalline NaNdHo2 at its relaxed geometry. The functional is PBE.

Properties
Energy relative to the lowest polymorph listed for this composition (eV/atom): 0.000
Calculated formation energy (meV per atom): 156

Lattice parameters (Å, degrees): 3.578 3.578 10.492 90.00 90.00 90.00
Fractional coordinates of all 4 atoms:
1 Ho 0.000 0.000 0.233
2 Ho 0.000 0.000 0.767
3 Na 0.500 0.500 0.500
4 Nd 0.500 0.500 0.000

This record from Alexandria via LeMat-Bulk describes crystalline NaNdHo2 at its relaxed geometry. The functional is PBE.

Properties
Energy relative to the lowest polymorph listed for this composition (eV/atom): 0.032
Calculated formation energy (meV per atom): 188

Lattice parameters (Å, degrees): 3.526 3.526 12.907 82.15 82.15 60.00
Fractional coordinates of all 4 atoms:
1 Ho 0.909 0.909 0.274
2 Ho 0.091 0.091 0.726
3 Nd 0.500 0.500 0.500
4 Na 0.000 0.000 0.000

This record from Alexandria via LeMat-Bulk describes crystalline NaNdHo at its relaxed geometry. The functional is PBE.

Properties
Energy relative to the lowest polymorph listed for this composition (eV/atom): 0.021
Calculated formation energy (meV per atom): 147

Lattice parameters (Å, degrees): 3.541 3.541 8.547 101.96 101.96 90.00
Fractional coordinates of all 3 atoms:
1 Na 0.998 0.998 0.996
2 Ho 0.326 0.326 0.652
3 Nd 0.676 0.676 0.352